Entry from Alexandria via LeMat-Bulk: Tl2ZnCrCl6 after structural relaxation (GGA-PBE).

Unit cell a=7.2865 b=7.2296 c=6.9324 alpha=61.87 beta=61.09 gamma=59.68
Closest atoms and distances in Å follow each position.
Positions (direct):
Cl: 0.5825 0.5820 0.7857  1 Cr 2.46, 1 Zn 2.51
Tl: 0.0610 0.0610 0.8067  8 Cl 3.32-3.62
Tl: 0.5712 0.5709 0.2967  8 Cl 3.25-3.63
Cl: 0.0379 0.0385 0.3294  1 Cr 2.33
Cl: 0.4872 0.1379 0.3161  1 Zn 2.25
Cl: 0.6234 0.0009 0.8395  1 Cr 2.38
Zn: 0.3438 0.3428 0.0239  3 Cl 2.24-2.51
Cr: 0.8160 0.8163 0.5514  4 Cl 2.33-2.46
Cl: 0.1379 0.4876 0.7940  1 Zn 2.24
Cl: 0.0007 0.6235 0.2718  1 Cr 2.38

Calculated values
VASP energy, eV per atom: -3.6652

Entry from Alexandria via LeMat-Bulk: Pa6BiN12 after structural relaxation (GGA-PBE).

Unit cell a=6.6591 b=6.6591 c=6.6591 alpha=99.50 beta=99.50 gamma=99.50
Closest atoms and distances in Å follow each position.
Positions (direct):
N: 0.1759 0.5907 0.4333  4 Pa 2.25-2.42
N: 0.8241 0.4093 0.5667  4 Pa 2.25-2.42
N: 0.5907 0.4333 0.1759  4 Pa 2.25-2.42
N: 0.6747 0.0684 0.9353  3 Pa 2.27-2.53, 1 Bi 2.27
N: 0.4093 0.5667 0.8241  4 Pa 2.25-2.42
Pa: 0.1377 0.2974 0.5990  6 N 2.25-2.42
Pa: 0.5990 0.1377 0.2974  6 N 2.25-2.42
Pa: 0.8623 0.7026 0.4010  6 N 2.25-2.42
N: 0.5667 0.8241 0.4093  4 Pa 2.25-2.42
N: 0.9316 0.0647 0.3253  3 Pa 2.27-2.53, 1 Bi 2.27
N: 0.9353 0.6747 0.0684  3 Pa 2.27-2.53, 1 Bi 2.27
Bi: 0.0000 0.0000 0.0000  6 N 2.27
N: 0.0684 0.9353 0.6747  3 Pa 2.27-2.53, 1 Bi 2.27
N: 0.3253 0.9316 0.0647  3 Pa 2.27-2.53, 1 Bi 2.27
Pa: 0.4010 0.8623 0.7026  6 N 2.25-2.42
N: 0.0647 0.3253 0.9316  3 Pa 2.27-2.53, 1 Bi 2.27
N: 0.4333 0.1759 0.5907  4 Pa 2.25-2.42
Pa: 0.7026 0.4010 0.8623  6 N 2.25-2.42
Pa: 0.2974 0.5990 0.1377  6 N 2.25-2.42

Calculated values
VASP energy, eV per atom: -9.6921

Entry from Alexandria via LeMat-Bulk: LiBC after structural relaxation (GGA-PBE).

Unit cell a=8.7369 b=5.3794 c=4.4362 alpha=90.00 beta=150.78 gamma=90.00
Closest atoms and distances in Å follow each position.
Positions (direct):
Li: 0.6829 0.5002 0.0488  6 C 2.37-2.55, 6 B 2.44-2.49, 1 Li 2.60
B: 0.1392 0.6427 0.1392  3 C 1.53-1.60
Li: 0.1829 0.9998 0.5488  6 C 2.37-2.55, 6 B 2.44-2.49, 1 Li 2.60
B: 0.6392 0.8573 0.6392  3 C 1.53-1.60
Li: 0.8171 0.0002 0.4512  6 C 2.37-2.55, 6 B 2.44-2.49, 1 Li 2.60
Li: 0.3171 0.4998 0.9512  6 C 2.37-2.55, 6 B 2.44-2.49, 1 Li 2.60
B: 0.8608 0.3573 0.8608  3 C 1.53-1.60
C: 0.1615 0.3464 0.1617  3 B 1.53-1.60
C: 0.6615 0.1536 0.6617  3 B 1.53-1.60
C: 0.3385 0.8464 0.3383  3 B 1.53-1.60
C: 0.8385 0.6536 0.8383  3 B 1.53-1.60
B: 0.3608 0.1427 0.3608  3 C 1.53-1.60

Calculated values
ΔE_f, eV per atom: -0.19

Entry from Alexandria via LeMat-Bulk: SrCa2Ta after structural relaxation (GGA-PBE).

Unit cell a=4.8639 b=4.8639 c=12.4696 alpha=78.75 beta=78.75 gamma=90.00
Closest atoms and distances in Å follow each position.
Positions (direct):
Ca: 0.8750 0.8982 0.7500  4 Ca 3.28-3.60, 2 Ta 3.42, 2 Sr 3.50
Ca: 0.3750 0.3518 0.7500  4 Ca 3.28-3.60, 2 Ta 3.42, 2 Sr 3.50
Ta: 0.0000 0.0000 0.0000  4 Ca 3.42, 4 Sr 3.44
Ta: 0.7500 0.2500 0.5000  4 Ca 3.42, 4 Sr 3.44
Sr: 0.5000 0.5000 0.0000  4 Ta 3.44, 4 Ca 3.50
Ca: 0.1018 0.6250 0.2500  4 Ca 3.28-3.60, 2 Ta 3.42, 2 Sr 3.50
Ca: 0.6482 0.1250 0.2500  4 Ca 3.28-3.60, 2 Ta 3.42, 2 Sr 3.50
Sr: 0.2500 0.7500 0.5000  4 Ta 3.44, 4 Ca 3.50

Calculated values
ΔE_f, eV per atom: 1.09

For the records above, the corresponding calculated density values read 4.7; 10.4; 1.9; 4.1 g/cm³.